No. 1
# YCdOs2 | Alexandria via LeMat-Bulk | PBEsol | optimized geometry
data_YCdOs2
_symmetry_space_group_name_H-M 'C 1 2/m 1'
_symmetry_Int_Tables_number 12
_cell_length_a 9.448
_cell_length_b 2.980
_cell_length_c 5.199
_cell_angle_alpha 90.00
_cell_angle_beta 101.34
_cell_angle_gamma 90.00
loop_
_symmetry_equiv_pos_as_xyz
'x,y,z'
'-x,-y,-z'
'-x,y,-z'
'x,-y,z'
'x+1/2,y+1/2,z'
'-x+1/2,-y+1/2,-z'
'-x+1/2,y+1/2,-z'
'x+1/2,-y+1/2,z'
loop_
_atom_site_label
_atom_site_type_symbol
_atom_site_fract_x
_atom_site_fract_y
_atom_site_fract_z
Y1 Y 0.000 0.000 0.000
Cd1 Cd 0.000 0.500 0.500
Os1 Os 0.246 0.000 0.706
# Calculated volume, Å³ per cell: 144
# M_tot, μB/f.u.: 0.00
# Final energy, eV/cell: -61.47

=====

No. 2
# YCdOs2 | Alexandria via LeMat-Bulk | PBEsol | optimized geometry
data_YCdOs2
_symmetry_space_group_name_H-M 'P m m m'
_symmetry_Int_Tables_number 47
_cell_length_a 3.176
_cell_length_b 4.540
_cell_length_c 4.833
_cell_angle_alpha 90.00
_cell_angle_beta 90.00
_cell_angle_gamma 90.00
loop_
_symmetry_equiv_pos_as_xyz
'x,y,z'
'-x,-y,-z'
'-x,-y,z'
'x,y,-z'
'x,-y,-z'
'-x,y,z'
'-x,y,-z'
'x,-y,z'
loop_
_atom_site_label
_atom_site_type_symbol
_atom_site_fract_x
_atom_site_fract_y
_atom_site_fract_z
Y1 Y 0.000 0.000 0.000
Cd1 Cd 0.500 0.000 0.500
Os1 Os 0.000 0.500 0.500
Os2 Os 0.500 0.500 0.000
# Calculated volume, Å³ per cell: 70
# M_tot, μB/f.u.: 0.00
# Final energy, eV/cell: -30.57

=====

No. 3
# ZnCdOs2 | Alexandria via LeMat-Bulk | PBEsol | optimized geometry
data_ZnCdOs2
_symmetry_space_group_name_H-M 'P m m m'
_symmetry_Int_Tables_number 47
_cell_length_a 2.713
_cell_length_b 4.110
_cell_length_c 5.526
_cell_angle_alpha 90.00
_cell_angle_beta 90.00
_cell_angle_gamma 90.00
loop_
_symmetry_equiv_pos_as_xyz
'x,y,z'
'-x,-y,-z'
'-x,-y,z'
'x,y,-z'
'x,-y,-z'
'-x,y,z'
'-x,y,-z'
'x,-y,z'
loop_
_atom_site_label
_atom_site_type_symbol
_atom_site_fract_x
_atom_site_fract_y
_atom_site_fract_z
Zn1 Zn 0.000 0.000 0.000
Cd1 Cd 0.000 0.000 0.500
Os1 Os 0.500 0.500 0.216
# Calculated volume, Å³ per cell: 62
# M_tot, μB/f.u.: 0.00
# ΔE to the lowest computed polymorph, eV per atom: 0.173

=====

No. 4
# ZnCdOs2 | Alexandria via LeMat-Bulk | PBEsol | optimized geometry
data_ZnCdOs2
_symmetry_space_group_name_H-M 'C 1 2/m 1'
_symmetry_Int_Tables_number 12
_cell_length_a 9.126
_cell_length_b 2.788
_cell_length_c 4.806
_cell_angle_alpha 90.00
_cell_angle_beta 101.49
_cell_angle_gamma 90.00
loop_
_symmetry_equiv_pos_as_xyz
'x,y,z'
'-x,-y,-z'
'-x,y,-z'
'x,-y,z'
'x+1/2,y+1/2,z'
'-x+1/2,-y+1/2,-z'
'-x+1/2,y+1/2,-z'
'x+1/2,-y+1/2,z'
loop_
_atom_site_label
_atom_site_type_symbol
_atom_site_fract_x
_atom_site_fract_y
_atom_site_fract_z
Zn1 Zn 0.000 0.000 0.000
Cd1 Cd 0.000 0.500 0.500
Os1 Os 0.242 0.500 0.226
# Calculated volume, Å³ per cell: 120
# M_tot, μB/f.u.: 0.00
# ΔE to the lowest computed polymorph, eV per atom: 0.000

=====

No. 5
# ZnCdOs2 | Alexandria via LeMat-Bulk | PBEsol | optimized geometry
data_ZnCdOs2
_symmetry_space_group_name_H-M 'I 4/m m m'
_symmetry_Int_Tables_number 139
_symmetry_space_group_name_Hall '-I 4 2'
_cell_length_a 3.779
_cell_length_b 3.779
_cell_length_c 8.483
_cell_angle_alpha 90.00
_cell_angle_beta 90.00
_cell_angle_gamma 90.00
loop_
_atom_site_label
_atom_site_type_symbol
_atom_site_fract_x
_atom_site_fract_y
_atom_site_fract_z
Zn1 Zn 0.000 0.000 0.000
Cd1 Cd 0.000 0.000 0.500
Os1 Os 0.000 0.500 0.250
# Calculated volume, Å³ per cell: 121
# M_tot, μB/f.u.: 0.00
# ΔE to the lowest computed polymorph, eV per atom: 0.236

=====

No. 6
# Zn2CdOs | Alexandria via LeMat-Bulk | PBEsol | optimized geometry
data_Zn2CdOs
_symmetry_space_group_name_H-M 'C m m m'
_symmetry_Int_Tables_number 65
_symmetry_space_group_name_Hall '-C 2 2'
_cell_length_a 2.813
_cell_length_b 4.761
_cell_length_c 9.274
_cell_angle_alpha 90.00
_cell_angle_beta 90.00
_cell_angle_gamma 90.00
loop_
_atom_site_label
_atom_site_type_symbol
_atom_site_fract_x
_atom_site_fract_y
_atom_site_fract_z
Zn1 Zn 0.000 0.000 0.231
Cd1 Cd 0.000 0.500 0.500
Os1 Os 0.000 0.500 0.000
# Calculated volume, Å³ per cell: 124
# M_tot, μB/f.u.: 0.00
# Final energy, eV/cell: -30.92

=====

No. 7
# Zr3CdOs | Alexandria via LeMat-Bulk | PBEsol | optimized geometry
data_Zr3CdOs
_symmetry_space_group_name_H-M 'P m -3 m'
_symmetry_Int_Tables_number 221
_symmetry_space_group_name_Hall '-P 4 2 3'
_cell_length_a 4.996
_cell_length_b 4.996
_cell_length_c 4.996
_cell_angle_alpha 90.00
_cell_angle_beta 90.00
_cell_angle_gamma 90.00
loop_
_atom_site_label
_atom_site_type_symbol
_atom_site_fract_x
_atom_site_fract_y
_atom_site_fract_z
Zr1 Zr 0.000 0.000 0.500
Cd1 Cd 0.000 0.000 0.000
Os1 Os 0.500 0.500 0.500
# Calculated volume, Å³ per cell: 125
# M_tot, μB/f.u.: 0.00
# Final energy, eV/cell: -31.77

=====

No. 8
# CdP7 | Alexandria via LeMat-Bulk | PBEsol | optimized geometry
data_CdP7
_symmetry_space_group_name_H-M 'F m -3 m'
_symmetry_Int_Tables_number 225
_symmetry_space_group_name_Hall '-F 4 2 3'
_cell_length_a 7.902
_cell_length_b 7.902
_cell_length_c 7.902
_cell_angle_alpha 90.00
_cell_angle_beta 90.00
_cell_angle_gamma 90.00
loop_
_atom_site_label
_atom_site_type_symbol
_atom_site_fract_x
_atom_site_fract_y
_atom_site_fract_z
Cd1 Cd 0.000 0.000 0.000
P1 P 0.000 0.000 0.500
P2 P 0.000 0.250 0.250
# Calculated volume, Å³ per cell: 493
# M_tot, μB/f.u.: 0.00
# Final energy, eV/cell: -143.04